# 1
Compound: Ti3SnI
Source: Alexandria
Functional: PBE
Structure: optimized geometry

Cell lengths 4.9762, 4.9762, 4.9762 Å; angles 90.00, 90.00, 90.00 degrees
Fractional coordinates of all 5 atoms:
I 0.0000 0.0000 0.0000
Ti 0.5000 0.0000 0.0000
Ti 0.0000 0.0000 0.5000
Ti 0.0000 0.5000 0.0000
Sn 0.5000 0.5000 0.5000

Summary:
- offset from the most stable computed form (eV per formula unit) = 0.00
- raw formation energy (eV/atom) = 0.82
- space-group type = Pm-3m, No. 221
- electronic total energy (eV per cell) = -25.13
- crystal system = cubic

# 2
Compound: Dy3HoTm
Source: Alexandria
Functional: PBE
Structure: optimized geometry

Cell lengths 3.5841, 8.3863, 11.4805 Å; angles 90.00, 90.00, 102.33 degrees
Fractional coordinates of all 10 atoms:
Ho 0.3395 0.1806 0.2500
Ho 0.6605 0.8194 0.7500
Dy 0.6784 0.8591 0.2500
Dy 0.1495 0.7995 0.0000
Dy 0.1495 0.7995 0.5000
Dy 0.8505 0.2005 0.5000
Dy 0.8505 0.2005 0.0000
Dy 0.3216 0.1409 0.7500
Tm 0.0063 0.5163 0.2500
Tm 0.9937 0.4837 0.7500

Summary:
- offset from the most stable computed form (eV per formula unit) = 1.59
- space-group type = P2_1/m, No. 11
- electronic total energy (eV per cell) = -42.47
- crystal system = monoclinic
- formation energy from the elements (meV per atom) = 324

# 3
Compound: VRuSCl2
Source: Alexandria
Functional: PBE
Structure: optimized geometry

Cell lengths 4.7119, 4.7119, 4.5962 Å; angles 90.00, 90.00, 90.00 degrees
Fractional coordinates of all 5 atoms:
Cl 0.0000 0.5000 0.0000
Cl 0.5000 0.0000 0.0000
Ru 0.5000 0.5000 0.5000
S 0.0000 0.0000 0.5000
V 0.0000 0.0000 0.0000

Summary:
- offset from the most stable computed form (eV per formula unit) = 0.00
- raw formation energy (eV/atom) = 0.37
- space-group type = P4/mmm, No. 123
- electronic total energy (eV per cell) = -24.34
- crystal system = tetragonal

# 4
Compound: Hg2GeSe
Source: Alexandria
Functional: PBE
Structure: optimized geometry

Cell lengths 6.5533, 6.5533, 7.2658 Å; angles 63.19, 63.19, 90.00 degrees
Fractional coordinates of all 8 atoms:
Hg 0.6140 0.1250 0.2500
Hg 0.8750 0.8640 0.7500
Hg 0.1360 0.6250 0.2500
Hg 0.3750 0.3860 0.7500
Se 0.0000 0.0000 0.0000
Se 0.7500 0.2500 0.5000
Ge 0.2500 0.7500 0.5000
Ge 0.5000 0.5000 0.0000

Summary:
- offset from the most stable computed form (eV per formula unit) = 1.07
- raw formation energy (eV/atom) = 0.16
- space-group type = I-42d, No. 122
- electronic total energy (eV per cell) = -16.15
- crystal system = tetragonal

# 5
Compound: LiTl3Bi2Te6
Source: Alexandria
Functional: PBE
Structure: optimized geometry

Cell lengths 7.7988, 7.7988, 7.9721 Å; angles 99.32, 99.32, 120.14 degrees
Fractional coordinates of all 12 atoms:
Bi 0.3377 0.6623 0.0000
Bi 0.6623 0.3377 0.0000
Te 0.6066 0.9265 0.7742
Te 0.9265 0.6066 0.7742
Te 0.2456 0.2456 0.7666
Te 0.0735 0.3934 0.2258
Te 0.3934 0.0735 0.2258
Te 0.7544 0.7544 0.2334
Tl 0.1795 0.8205 0.5000
Tl 0.8205 0.1795 0.5000
Tl 0.5000 0.5000 0.5000
Li 0.0000 0.0000 0.0000

Summary:
- raw formation energy (eV/atom) = -0.31
- space-group type = C2/m, No. 12
- electronic total energy (eV per cell) = -39.37
- crystal system = monoclinic

# 6
Compound: BaSbN2
Source: Alexandria
Functional: PBE
Structure: optimized geometry

Cell lengths 6.2917, 6.2917, 6.0861 Å; angles 58.88, 58.88, 90.00 degrees
Fractional coordinates of all 8 atoms:
Ba 0.7500 0.2500 0.5000
Ba 0.0000 0.0000 0.0000
N 0.3750 0.4607 0.7500
N 0.8750 0.7893 0.7500
N 0.5393 0.1250 0.2500
N 0.2107 0.6250 0.2500
Sb 0.5000 0.5000 0.0000
Sb 0.2500 0.7500 0.5000

Summary:
- raw formation energy (eV/atom) = 0.05
- space-group type = I-42d, No. 122
- electronic total energy (eV per cell) = -45.02
- crystal system = tetragonal

# 7
Compound: Ti6Mo2W
Source: Alexandria
Functional: PBE
Structure: optimized geometry

Cell lengths 3.2004, 5.3076, 9.6151 Å; angles 73.37, 80.42, 72.45 degrees
Fractional coordinates of all 9 atoms:
Mo 0.3440 0.1006 0.2114
Mo 0.6560 0.8994 0.7886
Ti 0.3289 0.4586 0.8836
Ti 0.0125 0.3141 0.6609
Ti 0.6851 0.2088 0.4211
Ti 0.6711 0.5414 0.1164
Ti 0.9875 0.6859 0.3391
Ti 0.3149 0.7912 0.5789
W 0.0000 0.0000 0.0000

Summary:
- space-group type = C2/m, No. 12
- electronic total energy (eV per cell) = -82.51
- crystal system = monoclinic
- formation energy from the elements (meV per atom) = -58

# 8
Compound: TlBr5
Source: Alexandria
Functional: PBE
Structure: optimized geometry

Cell lengths 5.3241, 5.3241, 11.3156 Å; angles 75.59, 75.59, 64.73 degrees
Fractional coordinates of all 6 atoms:
Br 0.9426 0.9426 0.0023
Br 0.7306 0.7306 0.7604
Br 0.4874 0.4874 0.4018
Br 0.6133 0.6133 0.5804
Br 0.7173 0.7173 0.2054
Tl 0.3421 0.3421 0.8831

Summary:
- offset from the most stable computed form (eV per formula unit) = 0.00
- raw formation energy (eV/atom) = -0.29
- space-group type = Cm, No. 8
- electronic total energy (eV per cell) = -12.47
- crystal system = monoclinic

# 9
Compound: Sc3TlH
Source: Alexandria
Functional: PBE
Structure: optimized geometry

Cell lengths 6.3318, 9.1967, 3.4950 Å; angles 90.00, 73.96, 90.00 degrees
Fractional coordinates of all 10 atoms:
Sc 0.2433 0.4559 0.6288
Sc 0.7567 0.9559 0.3712
Sc 0.4324 0.7500 0.0333
Sc 0.5676 0.2500 0.9667
Sc 0.2433 0.0441 0.6288
Sc 0.7567 0.5441 0.3712
H 0.3953 0.2500 0.5530
H 0.6047 0.7500 0.4470
Tl 0.9781 0.2500 0.2621
Tl 0.0219 0.7500 0.7379

Summary:
- offset from the most stable computed form (eV per formula unit) = 0.36
- space-group type = P2_1/m, No. 11
- electronic total energy (eV per cell) = -52.44
- crystal system = monoclinic

# 10
Compound: CsLiTe2
Source: Alexandria
Functional: PBE
Structure: optimized geometry

Cell lengths 6.1910, 6.1910, 10.5482 Å; angles 72.93, 72.93, 90.00 degrees
Fractional coordinates of all 8 atoms:
Li 0.5000 0.5000 0.0000
Li 0.2500 0.7500 0.5000
Cs 0.0000 0.0000 0.0000
Cs 0.7500 0.2500 0.5000
Te 0.3871 0.8871 0.2259
Te 0.3629 0.3629 0.2741
Te 0.1129 0.6129 0.7741
Te 0.6371 0.6371 0.7259

Summary:
- offset from the most stable computed form (eV per formula unit) = 0.54
- raw formation energy (eV/atom) = -0.69
- space-group type = I4_1/amd, No. 141
- electronic total energy (eV per cell) = -23.63
- crystal system = tetragonal

# 11
Compound: LaMn2TlRh
Source: Alexandria
Functional: PBE
Structure: optimized geometry

Cell lengths 4.6551, 5.0754, 4.6551 Å; angles 90.00, 90.00, 90.00 degrees
Fractional coordinates of all 5 atoms:
Rh 0.0000 0.0000 0.0000
Mn 0.5000 0.0000 0.0000
Mn 0.0000 0.0000 0.5000
La 0.5000 0.5000 0.5000
Tl 0.0000 0.5000 0.0000

Summary:
- space-group type = P4/mmm, No. 123
- electronic total energy (eV per cell) = -28.64
- crystal system = tetragonal
- formation energy from the elements (meV per atom) = 868

# 12
Compound: V3FePt12
Source: Alexandria
Functional: PBE
Structure: optimized geometry

Cell lengths 3.9171, 3.9171, 15.6987 Å; angles 90.00, 90.00, 90.00 degrees
Fractional coordinates of all 16 atoms:
Pt 0.0000 0.5000 0.1258
Pt 0.5000 0.0000 0.6250
Pt 0.0000 0.5000 0.3750
Pt 0.5000 0.5000 0.7495
Pt 0.0000 0.5000 0.8742
Pt 0.5000 0.5000 0.5000
Pt 0.5000 0.0000 0.8742
Pt 0.5000 0.5000 0.2505
Pt 0.0000 0.5000 0.6250
Pt 0.5000 0.0000 0.1258
Pt 0.5000 0.0000 0.3750
Pt 0.5000 0.5000 0.0000
V 0.0000 0.0000 0.2478
V 0.0000 0.0000 0.5000
V 0.0000 0.0000 0.7522
Fe 0.0000 0.0000 0.0000

Summary:
- space-group type = P4/mmm, No. 123
- electronic total energy (eV per cell) = -114.70
- crystal system = tetragonal
- formation energy from the elements (meV per atom) = -400

# 13
Compound: Pm7Sn2Ru
Source: Alexandria
Functional: PBE
Structure: optimized geometry

Cell lengths 5.2279, 5.2279, 13.1290 Å; angles 90.00, 90.00, 120.00 degrees
Fractional coordinates of all 10 atoms:
Pm 0.3333 0.6667 0.0021
Pm 0.6667 0.3333 0.5893
Pm 0.6667 0.3333 0.1074
Pm 0.0000 0.0000 0.2380
Pm 0.6667 0.3333 0.8668
Pm 0.0000 0.0000 0.7604
Pm 0.3333 0.6667 0.4245
Ru 0.0000 0.0000 0.9990
Sn 0.6667 0.3333 0.3466
Sn 0.3333 0.6667 0.6823

Summary:
- space-group type = P3m1, No. 156
- electronic total energy (eV per cell) = -52.90
- crystal system = trigonal
- formation energy from the elements (meV per atom) = -237